# PBE Tc2IrAu, relaxed
# - energy of formation from the pure elements (eV per atom) = 0.16
# - volume (Å³ per cell) = 184.0
data_Tc2IrAu
_chemical_formula_sum 'Tc6 Ir3 Au3'
_cell_length_a 2.7731
_cell_length_b 2.7731
_cell_length_c 27.6227
_cell_angle_alpha 90.00
_cell_angle_beta 90.00
_cell_angle_gamma 120.00
_space_group_name_H-M_alt 'R -3 m'
_space_group_IT_number 166
_space_group_name_Hall '-R 3 2"'
loop_
_atom_site_label
_atom_site_fract_x
_atom_site_fract_y
_atom_site_fract_z
Tc1 0.0000 0.0000 0.2455
Ir1 0.0000 0.0000 0.5000
Au1 0.0000 0.0000 0.0000


# PBE CaB3Au, relaxed
# - energy of formation from the pure elements (eV per atom) = 2.75
# - volume (Å³ per cell) = 100.6
data_CaB3Au
_chemical_formula_sum 'Ca1 B3 Au1'
_cell_length_a 4.6513
_cell_length_b 4.6513
_cell_length_c 4.6513
_cell_angle_alpha 90.00
_cell_angle_beta 90.00
_cell_angle_gamma 90.00
_space_group_name_H-M_alt 'P m -3 m'
_space_group_IT_number 221
_space_group_name_Hall '-P 4 2 3'
loop_
_atom_site_label
_atom_site_fract_x
_atom_site_fract_y
_atom_site_fract_z
Ca1 0.0000 0.0000 0.0000
B1 0.0000 0.0000 0.5000
Au1 0.5000 0.5000 0.5000


# PBE MgCd2SnHg4, relaxed
# - energy of formation from the pure elements (eV per atom) = 0.00
# - volume (Å³ per cell) = 389.6
data_MgCd2SnHg4
_chemical_formula_sum 'Mg2 Cd4 Sn2 Hg8'
_cell_length_a 7.5318
_cell_length_b 7.5318
_cell_length_c 6.8678
_cell_angle_alpha 90.00
_cell_angle_beta 90.00
_cell_angle_gamma 90.00
_space_group_name_H-M_alt 'I 4/m m m'
_space_group_IT_number 139
_space_group_name_Hall '-I 4 2'
loop_
_atom_site_label
_atom_site_fract_x
_atom_site_fract_y
_atom_site_fract_z
Mg1 0.0000 0.0000 0.0000
Cd1 0.0000 0.5000 0.0000
Sn1 0.0000 0.0000 0.5000
Hg1 0.2500 0.2500 0.2500


# PBE Ce2SmIn, relaxed
# - energy of formation from the pure elements (eV per atom) = -0.02
# - volume (Å³ per cell) = 475.0
data_Ce2SmIn
_chemical_formula_sum 'Ce8 Sm4 In4'
_cell_length_a 7.8027
_cell_length_b 7.8027
_cell_length_c 7.8027
_cell_angle_alpha 90.00
_cell_angle_beta 90.00
_cell_angle_gamma 90.00
_space_group_name_H-M_alt 'F m -3 m'
_space_group_IT_number 225
_space_group_name_Hall '-F 4 2 3'
loop_
_atom_site_label
_atom_site_fract_x
_atom_site_fract_y
_atom_site_fract_z
Ce1 0.2500 0.2500 0.2500
Sm1 0.0000 0.0000 0.0000
In1 0.0000 0.0000 0.5000


# PBE TbCe3Sm4Te8, relaxed
# - energy relative to the elements, uncorrected (eV per atom) = -1.3732
# - volume (Å³ per cell) = 1497.8
data_TbCe3Sm4Te8
_chemical_formula_sum 'Tb3 Ce9 Sm12 Te24'
_cell_length_a 8.8871
_cell_length_b 8.8871
_cell_length_c 21.8983
_cell_angle_alpha 90.00
_cell_angle_beta 90.00
_cell_angle_gamma 120.00
_space_group_name_H-M_alt 'R -3 m'
_space_group_IT_number 166
_space_group_name_Hall '-R 3 2"'
loop_
_atom_site_label
_atom_site_fract_x
_atom_site_fract_y
_atom_site_fract_z
Tb1 0.0000 0.0000 0.0000
Ce1 0.0000 0.5000 0.0000
Sm1 0.0000 0.0000 0.5000
Sm2 0.0000 0.5000 0.5000
Te1 0.0000 0.0000 0.2488
Te2 0.0041 0.5021 0.7501


# PBE AcSmGeS, relaxed
# - energy relative to the elements, uncorrected (eV per atom) = -1.3906
# - volume (Å³ per cell) = 342.1
data_AcSmGeS
_chemical_formula_sum 'Ac3 Sm3 Ge3 S3'
_cell_length_a 4.3257
_cell_length_b 4.3257
_cell_length_c 21.1112
_cell_angle_alpha 90.00
_cell_angle_beta 90.00
_cell_angle_gamma 120.00
_space_group_name_H-M_alt 'R 3 m'
_space_group_IT_number 160
_space_group_name_Hall 'R 3 -2"'
loop_
_atom_site_label
_atom_site_fract_x
_atom_site_fract_y
_atom_site_fract_z
Ac1 0.0000 0.0000 0.0000
Sm1 0.0000 0.0000 0.5003
Ge1 0.0000 0.0000 0.2439
S1 0.0000 0.0000 0.7556


# PBE BaVH, relaxed
# - volume (Å³ per cell) = 274.6
# - VASP energy (hartree per atom) = -0.169
data_BaVH
_chemical_formula_sum 'Ba4 V4 H4'
_cell_length_a 4.3361
_cell_length_b 5.9766
_cell_length_c 10.5968
_cell_angle_alpha 90.00
_cell_angle_beta 90.00
_cell_angle_gamma 90.00
_space_group_name_H-M_alt 'A m m 2'
_space_group_IT_number 38
loop_
_space_group_symop_operation_xyz
'x,y,z'
'-x,-y,z'
'-x,y,z'
'x,-y,z'
'x,y+1/2,z+1/2'
'-x,-y+1/2,z+1/2'
'-x,y+1/2,z+1/2'
'x,-y+1/2,z+1/2'
loop_
_atom_site_label
_atom_site_fract_x
_atom_site_fract_y
_atom_site_fract_z
Ba1 0.0000 0.0000 0.0000
Ba2 0.5000 0.0000 0.3273
V1 0.2856 0.0000 0.6648
H1 0.0000 0.2172 0.7467


# PBE BiPd2Se, relaxed
# - energy relative to the elements, uncorrected (eV per atom) = -0.2885
# - volume (Å³ per cell) = 335.0
data_BiPd2Se
_chemical_formula_sum 'Bi4 Pd8 Se4'
_cell_length_a 8.1607
_cell_length_b 7.1412
_cell_length_c 5.7484
_cell_angle_alpha 90.00
_cell_angle_beta 90.00
_cell_angle_gamma 90.00
_space_group_name_H-M_alt 'P b c m'
_space_group_IT_number 57
loop_
_space_group_symop_operation_xyz
'x,y,z'
'-x,-y,-z'
'-x,-y,z+1/2'
'x,y,-z+1/2'
'x,-y+1/2,-z'
'-x,y+1/2,z'
'-x,y+1/2,-z+1/2'
'x,-y+1/2,z+1/2'
loop_
_atom_site_label
_atom_site_fract_x
_atom_site_fract_y
_atom_site_fract_z
Bi1 0.1197 0.0960 0.2500
Pd1 0.1562 0.7500 0.0000
Pd2 0.3929 0.2500 0.0000
Se1 0.3774 0.5623 0.2500


# PBE Rb2NpTl3Se6, relaxed
# - energy relative to the elements, uncorrected (eV per atom) = -0.7523
# - volume (Å³ per cell) = 848.7
data_Rb2NpTl3Se6
_chemical_formula_sum 'Rb4 Np2 Tl6 Se12'
_cell_length_a 8.1378
_cell_length_b 14.5433
_cell_length_c 7.6724
_cell_angle_alpha 90.00
_cell_angle_beta 110.83
_cell_angle_gamma 90.00
_space_group_name_H-M_alt 'C 1 2/m 1'
_space_group_IT_number 12
loop_
_space_group_symop_operation_xyz
'x,y,z'
'-x,-y,-z'
'-x,y,-z'
'x,-y,z'
'x+1/2,y+1/2,z'
'-x+1/2,-y+1/2,-z'
'-x+1/2,y+1/2,-z'
'x+1/2,-y+1/2,z'
loop_
_atom_site_label
_atom_site_fract_x
_atom_site_fract_y
_atom_site_fract_z
Rb1 0.0000 0.1719 0.0000
Np1 0.0000 0.5000 0.0000
Tl1 0.0000 0.0000 0.5000
Tl2 0.0000 0.3540 0.5000
Se1 0.1995 0.5000 0.7832
Se2 0.2045 0.3725 0.2179


# PBE InIrRh2, relaxed
# - energy of formation from the pure elements (eV per atom) = -0.06
# - volume (Å³ per cell) = 62.5
data_InIrRh2
_chemical_formula_sum 'In1 Ir1 Rh2'
_cell_length_a 2.8528
_cell_length_b 4.5520
_cell_length_c 4.8114
_cell_angle_alpha 90.00
_cell_angle_beta 90.00
_cell_angle_gamma 90.00
_space_group_name_H-M_alt 'P m m 2'
_space_group_IT_number 25
loop_
_space_group_symop_operation_xyz
'x,y,z'
'-x,-y,z'
'-x,y,z'
'x,-y,z'
loop_
_atom_site_label
_atom_site_fract_x
_atom_site_fract_y
_atom_site_fract_z
In1 0.0000 0.0000 0.0000
Ir1 0.0000 0.5000 0.6339
Rh1 0.5000 0.0000 0.5024
Rh2 0.5000 0.5000 0.1564


# PBE Li2AlSiS4, relaxed
# - energy relative to the elements, uncorrected (eV per atom) = -0.8982
# - volume (Å³ per cell) = 164.2
data_Li2AlSiS4
_chemical_formula_sum 'Li2 Al1 Si1 S4'
_cell_length_a 5.6126
_cell_length_b 5.6162
_cell_length_c 6.5431
_cell_angle_alpha 64.61
_cell_angle_beta 64.68
_cell_angle_gamma 89.95
_space_group_name_H-M_alt 'P 1'
_space_group_IT_number 1
loop_
_space_group_symop_operation_xyz
'x,y,z'
loop_
_atom_site_label
_atom_site_fract_x
_atom_site_fract_y
_atom_site_fract_z
Li1 0.0000 0.0000 0.0000
Li2 0.2502 0.7503 0.4997
Al1 0.5001 0.5002 0.9998
Si1 0.7499 0.2499 0.5002
S1 0.1305 0.1496 0.2504
S2 0.3991 0.8700 0.7494
S3 0.6197 0.6006 0.2508
S4 0.8518 0.3816 0.7486


# PBE Ca2TbZn, relaxed
# - energy of formation from the pure elements (eV per atom) = -0.03
# - volume (Å³ per cell) = 122.5
data_Ca2TbZn
_chemical_formula_sum 'Ca2 Tb1 Zn1'
_cell_length_a 3.5864
_cell_length_b 3.5864
_cell_length_c 9.5226
_cell_angle_alpha 90.00
_cell_angle_beta 90.00
_cell_angle_gamma 90.00
_space_group_name_H-M_alt 'P 4/m m m'
_space_group_IT_number 123
_space_group_name_Hall '-P 4 2'
loop_
_atom_site_label
_atom_site_fract_x
_atom_site_fract_y
_atom_site_fract_z
Ca1 0.0000 0.0000 0.1992
Tb1 0.5000 0.5000 0.5000
Zn1 0.5000 0.5000 0.0000